Material: Tb4SmTm8
Method: DFT, PBE-GGA
State: optimized geometry

The total DFT energy (no corrections) is -4.32 eV/atom. The formation energy is 0.22 eV/atom. As for the density: 8.8 g/cm3.

The structure belongs to space group R-3m (No. 166, hexagonal axes); the cell edges are 7.2506, 7.2506 and 26.6996 Å and the angles 90.00°, 90.00° and 120.00°. The asymmetric unit holds Tb at (0.0000, 0.0000, 0.0000), Tb at (0.0000, 0.5000, 0.0000), Sm at (0.0000, 0.0000, 0.5000), Tm at (0.0000, 0.0000, 0.2181) and Tm at (0.0392, 0.5196, 0.7694).


Material: K3InSe2
Method: DFT, PBE-GGA
State: optimized geometry

The total DFT energy (no corrections) is -2.97 eV/atom. The formation energy from raw total energies is -807 meV per atom. As for the density: 2.7 g/cm3.

The structure belongs to space group Ibam (No. 72); the cell edges are 7.8611, 15.5192 and 7.8094 Å and the angles 90.00°, 90.00° and 90.00°. The asymmetric unit holds K at (0.0000, 0.0000, 0.2500), K at (0.0000, 0.2632, 0.2500), In at (0.0000, 0.5000, 0.0000) and Se at (0.2259, 0.1325, 0.0000).


Material: Nd4NiPCl2
Method: DFT, PBE-GGA
State: optimized geometry

The total DFT energy (no corrections) is -5.47 eV/atom. The formation energy from raw total energies is -1228 meV per atom. As for the density: 6.0 g/cm3.

The structure belongs to space group P2/m (No. 10); the cell edges are 7.3330, 4.0031 and 7.3575 Å and the angles 90.00°, 107.82° and 90.00°. The asymmetric unit holds Nd at (0.2234, 0.0000, 0.2118), Nd at (0.2615, 0.5000, 0.7774), Ni at (0.0000, 0.5000, 0.0000), P at (0.5000, 0.0000, 0.0000), Cl at (0.0000, 0.0000, 0.5000) and Cl at (0.5000, 0.5000, 0.5000).


Material: Pm2PuAg
Method: DFT, PBE-GGA
State: optimized geometry

For the distance to the lowest polymorph of the same formula, the calculation gives 0.2873 eV per atom. The total DFT energy (no corrections) is -6.40 eV/atom. The formation energy is 0.28 eV/atom. As for the density: 9.1 g/cm3.

The structure belongs to space group R-3m (No. 166, hexagonal axes); the cell edges are 3.4038, 3.4038 and 35.1889 Å and the angles 90.00°, 90.00° and 120.00°. The asymmetric unit holds Pm at (0.0000, 0.0000, 0.0950), Pu at (0.0000, 0.0000, 0.0000) and Ag at (0.0000, 0.0000, 0.5000).


Material: PIO2
Method: DFT, PBE-GGA
State: optimized geometry

For the distance to the lowest polymorph of the same formula, the calculation gives 1.2866 eV per atom. The total DFT energy (no corrections) is -4.20 eV/atom. The formation energy from raw total energies is 22 meV per atom. As for the density: 5.0 g/cm3.

The structure belongs to space group R-3m (No. 166, hexagonal axes); the cell edges are 3.4128, 3.4128 and 18.8001 Å and the angles 90.00°, 90.00° and 120.00°. The asymmetric unit holds P at (0.0000, 0.0000, 0.0000), I at (0.0000, 0.0000, 0.5000) and O at (0.0000, 0.0000, 0.3829).


Material: Tb5GaHg2
Method: DFT, PBE-GGA
State: optimized geometry

The total DFT energy (no corrections) is -3.70 eV/atom. The formation energy is -0.36 eV/atom. As for the density: 9.5 g/cm3.

The structure belongs to space group I4/mcm (No. 140); the cell edges are 7.6660, 7.6660 and 15.0698 Å and the angles 90.00°, 90.00° and 90.00°. The asymmetric unit holds Tb at (0.0000, 0.0000, 0.0000), Tb at (0.1653, 0.3347, 0.1556), Ga at (0.0000, 0.0000, 0.2500) and Hg at (0.1330, 0.3670, 0.5000).